SiWAu2F | PBE+U | optimized geometry

Structure (extended XYZ):
```
5
Lattice="4.9573 0.0000 0.0000 0.0000 4.9573 0.0000 0.0000 0.0000 4.0983" Properties=species:S:1:pos:R:3 pbc="T T T"
Si 0.0000 0.0000 0.0000
W 2.4787 2.4787 0.0000
Au 0.0000 2.4787 2.0492
Au 2.4787 0.0000 2.0492
F 2.4787 2.4787 2.0492
```

Size of the total moment = 3.61 μB/f.u.
SG = P4/mmm (123)
VASP energy = -3.66 eV per atom